[1]
Crystalline Sc4As6Rh7 at its relaxed geometry, computed with GGA-PBE.

For the formation energy, the calculation gives -960 meV/atom. As for the density of states at the Fermi level: 0.39 states/eV/atom. The theoretical density is 8.131 g/cm³.

The structure in POSCAR format:
```
Sc4As6Rh7
1.0
-4.100 4.100 4.100
4.100 -4.100 4.100
4.100 4.100 -4.100
Sc As Rh
4 6 7
direct
0.000 0.000 0.500
0.000 0.500 0.000
0.500 0.000 0.000
0.500 0.500 0.500
0.000 0.314 0.314
0.000 0.686 0.686
0.314 0.000 0.314
0.314 0.314 0.000
0.686 0.000 0.686
0.686 0.686 0.000
0.000 0.000 0.000
0.250 0.500 0.750
0.250 0.750 0.500
0.500 0.250 0.750
0.500 0.750 0.250
0.750 0.250 0.500
0.750 0.500 0.250
```

---

[2]
Crystalline CrMo2Ir2 at its relaxed geometry, computed with GGA-PBE.

For the formation energy, the calculation gives 188 meV/atom. As for the density of states at the Fermi level: 1.38 states/eV/atom. The theoretical density is 13.303 g/cm³.

The structure in POSCAR format:
```
CrMo2Ir2
1.0
7.519 0.000 0.000
0.000 7.519 0.000
0.000 0.000 2.775
Cr Mo Ir
2 4 4
direct
0.000 0.000 0.000
0.500 0.500 0.000
0.171 0.329 0.500
0.329 0.829 0.500
0.671 0.171 0.500
0.829 0.671 0.500
0.127 0.627 0.000
0.373 0.127 0.000
0.627 0.873 0.000
0.873 0.373 0.000
```

---

[3]
Crystalline KSe3S at its relaxed geometry, computed with GGA-PBE.

The calculation puts the polymorph energy (0 for the lowest one) at 1.612 eV/atom. As for the density of states at the Fermi level: 3.72 states/eV/atom. The theoretical density is 2.188 g/cm³. For the energy relative to the elements, uncorrected, the calculation gives 1274 meV/atom.

The structure in POSCAR format:
```
KSe3S
1.0
6.161 0.000 0.000
0.000 6.161 0.000
0.000 0.000 6.161
K Se S
1 3 1
direct
0.000 0.000 0.000
0.000 0.000 0.500
0.000 0.500 0.000
0.500 0.000 0.000
0.500 0.500 0.500
```

---

[4]
Crystalline Sc5In2NiIr2 at its relaxed geometry, computed with GGA-PBE.

For the formation energy, the calculation gives -586 meV/atom. As for the density of states at the Fermi level: 0.78 states/eV/atom. The theoretical density is 7.346 g/cm³.

The structure in POSCAR format:
```
Sc5In2NiIr2
1.0
11.012 0.000 0.000
0.000 11.012 0.000
0.000 0.000 3.346
Sc In Ni Ir
10 4 2 4
direct
0.000 0.500 0.000
0.070 0.192 0.000
0.192 0.930 0.000
0.308 0.430 0.000
0.430 0.692 0.000
0.500 0.000 0.000
0.570 0.308 0.000
0.692 0.570 0.000
0.808 0.070 0.000
0.930 0.808 0.000
0.172 0.672 0.500
0.328 0.172 0.500
0.672 0.828 0.500
0.828 0.328 0.500
0.000 0.000 0.500
0.500 0.500 0.500
0.136 0.364 0.500
0.364 0.864 0.500
0.636 0.136 0.500
0.864 0.636 0.500
```

---

[5]
Crystalline P2BrCl2 at its relaxed geometry, computed with GGA-PBE.

As for the density of states at the Fermi level: 0.00 states/eV/atom. The theoretical density is 1.738 g/cm³. For the energy relative to the elements, uncorrected, the calculation gives -336 meV/atom.

The structure in POSCAR format:
```
P2BrCl2
1.0
7.651 0.000 0.000
2.102 7.609 0.000
0.514 3.921 6.983
P Br Cl
4 2 4
direct
0.015 0.075 0.070
0.420 0.612 0.856
0.580 0.388 0.144
0.985 0.925 0.930
0.335 0.305 0.300
0.665 0.695 0.700
0.041 0.836 0.347
0.387 0.398 0.793
0.613 0.602 0.207
0.959 0.164 0.653
```

---

[6]
Crystalline Ba2HgRhI at its relaxed geometry, computed with GGA-PBE.

As for the density of states at the Fermi level: 0.60 states/eV/atom. The theoretical density is 6.138 g/cm³. For the energy relative to the elements, uncorrected, the calculation gives -680 meV/atom.

The structure in POSCAR format:
```
Ba2HgRhI
1.0
5.995 0.000 0.000
0.000 5.995 0.000
0.000 0.000 5.307
Ba Hg Rh I
2 1 1 1
direct
0.000 0.500 0.000
0.500 0.000 0.000
0.000 0.000 0.500
0.000 0.000 0.000
0.500 0.500 0.500
```